VASP calculation (PBE) on crystalline SmHgAu2 at its relaxed geometry.

Cell: 3.725 3.725 6.629 Å, 90.00 90.00 90.00°
Fractional coordinates of all 4 atoms:
Sm  0.000  0.000  0.000
Hg  0.000  0.000  0.500
Au  0.500  0.500  0.250
Au  0.500  0.500  0.750

energy of formation from the pure elements: -0.508 eV per atom
distance to the lowest polymorph of the same formula: 85.9 meV/atom